# Rb3Tb2TmSe6

A geometry-optimized Rb3Tb2TmSe6 structure (PBE-GGA, Alexandria).

Properties
Total energy = -0.17877 hartree per atom
Raw formation energy = -1.74 eV per atom

a b c (Å): 7.339 12.711 8.360
angles (deg): 90.00 107.02 90.00
Space group C2/m (No. 12)
Symmetry-distinct sites (fractional):
Rb: 0.000 0.000 0.000 (multiplicity 2)
Rb: 0.000 0.332 0.000 (multiplicity 4)
Tb: 0.000 0.167 0.500 (multiplicity 4)
Tm: 0.000 0.500 0.500 (multiplicity 2)
Se: 0.230 0.335 0.695 (multiplicity 8)
Se: 0.236 0.000 0.695 (multiplicity 4)